# 1
This record from Alexandria via LeMat-Bulk describes a relaxed K2Hg4H crystal. The functional is PBE.

Cell: 5.247 5.247 9.033 Å, 106.88 106.88 90.00°
Fractional coordinates of all 7 atoms:
H (0.000, 0.000, 0.000)
K (0.660, 0.660, 0.321)
K (0.340, 0.340, 0.679)
Hg (0.873, 0.873, 0.746)
Hg (0.127, 0.127, 0.254)
Hg (0.000, 0.500, 0.000)
Hg (0.500, 0.000, 0.000)

***

# 2
This record from Alexandria via LeMat-Bulk describes a relaxed CaTeN2F crystal. The functional is PBE.

The polymorph energy (0 for the lowest one) is 0.00 kJ per mole of atoms. The calculation puts the formation energy from raw total energies at -0.240 eV per atom.

Cell: 4.163 4.363 4.163 Å, 90.00 90.00 90.00°
Fractional coordinates of all 5 atoms:
N (0.000, 0.000, 0.500)
N (0.500, 0.000, 0.000)
Ca (0.500, 0.500, 0.500)
Te (0.000, 0.000, 0.000)
F (0.000, 0.500, 0.000)

***

# 3
This record from Alexandria via LeMat-Bulk describes a relaxed P2OsPb crystal. The functional is PBE.

The value obtained for the formation energy is 0.550 eV per atom.

Cell: 3.051 3.051 9.431 Å, 90.00 90.00 119.64°
Fractional coordinates of all 4 atoms:
Os (0.500, 0.500, 0.750)
P (0.000, 0.000, 0.947)
P (0.000, 0.000, 0.553)
Pb (0.500, 0.500, 0.250)

***

# 4
This record from Alexandria via LeMat-Bulk describes a relaxed Be5V12Cr3 crystal. The functional is PBE.

The value obtained for the formation energy is 0.989 eV per atom.

Cell: 11.472 11.472 11.472 Å, 109.47 109.47 109.47°
Fractional coordinates of all 80 atoms:
Cr (0.750, 0.375, 0.125)
Cr (0.875, 0.750, 0.125)
Cr (0.375, 0.750, 0.625)
Cr (0.250, 0.125, 0.375)
Cr (0.875, 0.125, 0.250)
Cr (0.375, 0.625, 0.250)
Cr (0.625, 0.375, 0.750)
Cr (0.125, 0.875, 0.750)
Cr (0.750, 0.875, 0.625)
Cr (0.625, 0.250, 0.375)
Cr (0.125, 0.250, 0.875)
Cr (0.250, 0.625, 0.875)
Be (0.125, 0.375, 0.250)
Be (0.000, 0.500, 0.000)
Be (0.000, 0.000, 0.000)
Be (0.375, 0.250, 0.125)
Be (0.500, 0.000, 0.500)
Be (0.500, 0.500, 0.000)
Be (0.125, 0.750, 0.375)
Be (0.750, 0.125, 0.875)
Be (0.750, 0.625, 0.375)
Be (0.375, 0.125, 0.750)
Be (0.625, 0.875, 0.250)
Be (0.500, 0.500, 0.500)
Be (0.500, 0.000, 0.000)
Be (0.000, 0.000, 0.500)
Be (0.250, 0.375, 0.625)
Be (0.250, 0.875, 0.125)
Be (0.000, 0.500, 0.500)
Be (0.875, 0.250, 0.625)
Be (0.625, 0.750, 0.875)
Be (0.875, 0.625, 0.750)
V (0.724, 0.124, 0.057)
V (0.333, 0.557, 0.434)
V (0.943, 0.376, 0.276)
V (0.557, 0.224, 0.124)
V (0.601, 0.724, 0.667)
V (0.943, 0.566, 0.167)
V (0.333, 0.776, 0.399)
V (0.066, 0.899, 0.124)
V (0.566, 0.943, 0.667)
V (0.724, 0.601, 0.167)
V (0.776, 0.443, 0.376)
V (0.833, 0.934, 0.057)
V (0.124, 0.724, 0.557)
V (0.376, 0.434, 0.101)
V (0.101, 0.934, 0.376)
V (0.399, 0.124, 0.566)
V (0.101, 0.167, 0.224)
V (0.443, 0.667, 0.066)
V (0.833, 0.899, 0.276)
V (0.124, 0.399, 0.066)
V (0.376, 0.943, 0.776)
V (0.566, 0.624, 0.399)
V (0.934, 0.833, 0.557)
V (0.776, 0.333, 0.899)
V (0.434, 0.376, 0.601)
V (0.066, 0.167, 0.443)
V (0.224, 0.667, 0.101)
V (0.167, 0.101, 0.724)
V (0.624, 0.057, 0.224)
V (0.876, 0.601, 0.934)
V (0.557, 0.333, 0.934)
V (0.601, 0.876, 0.434)
V (0.899, 0.833, 0.776)
V (0.899, 0.066, 0.624)
V (0.876, 0.276, 0.443)
V (0.167, 0.066, 0.943)
V (0.624, 0.566, 0.899)
V (0.434, 0.057, 0.333)
V (0.276, 0.399, 0.833)
V (0.224, 0.557, 0.624)
V (0.934, 0.101, 0.876)
V (0.667, 0.224, 0.601)
V (0.443, 0.776, 0.876)
V (0.057, 0.434, 0.833)
V (0.399, 0.276, 0.333)
V (0.057, 0.624, 0.724)
V (0.667, 0.443, 0.566)
V (0.276, 0.876, 0.943)

***

| no. | VASP energy (eV for the cell shown) |
| --- | --- |
| 1 | -7.2 |
| 2 | -24.9 |
| 3 | -23.6 |
| 4 | -548.6 |